# PBE MnMo2RhC, optimized geometry
data_MnMo2RhC
_cell_length_a 4.1300
_cell_length_b 4.1300
_cell_length_c 3.8427
_cell_angle_alpha 90.00
_cell_angle_beta 90.00
_cell_angle_gamma 90.00
_space_group_name_H-M_alt 'P 1'
_space_group_IT_number 1
loop_
_space_group_symop_operation_xyz
'x,y,z'
loop_
_atom_site_label
_atom_site_type_symbol
_atom_site_fract_x
_atom_site_fract_y
_atom_site_fract_z
Mo1 Mo 0.0000 0.5000 0.0000
Mo2 Mo 0.5000 0.0000 0.0000
Mn1 Mn 0.0000 0.0000 0.5000
Rh1 Rh 0.5000 0.5000 0.5000
C1 C 0.0000 0.0000 0.0000
# D(E_F) ... 5.23 states/eV/f.u.
# Electronic total energy ... -0.3467 hartree per atom